(1)
Crystalline ZnCo2P at its relaxed geometry. Source: Alexandria via LeMat-Bulk, functional PBE-GGA.

Computed properties:
Its energy of formation from the pure elements is -172.9 meV/atom. Its energy above the lowest structure with this stoichiometry is 0.32 eV/f.u. The total magnetization comes out at 0.70 μB/cell. The total energy comes out at -21.59 eV for the cell shown.

Unit cell a=7.550 b=7.550 c=7.550 alpha=20.63 beta=20.63 gamma=20.63
Sites, in units of the cell vectors:
1 Zn 0.000 0.000 0.000
2 Co 0.239 0.239 0.239
3 Co 0.761 0.761 0.761
4 P 0.500 0.500 0.500

---

(2)
Crystalline Zn2CoP at its relaxed geometry. Source: Alexandria via LeMat-Bulk, functional PBE-GGA.

Computed properties:
Its energy of formation from the pure elements is 215.0 meV/atom. The total magnetization comes out at 0.00 μB/cell. The total energy comes out at -14.20 eV for the cell shown.

Unit cell a=4.196 b=4.196 c=4.196 alpha=60.00 beta=60.00 gamma=60.00
Sites, in units of the cell vectors:
1 Zn 0.000 0.000 0.000
2 Zn 0.250 0.250 0.250
3 Co 0.500 0.500 0.500
4 P 0.750 0.750 0.750

---

(3)
Crystalline ZnCo2P2 at its relaxed geometry. Source: Alexandria via LeMat-Bulk, functional PBE-GGA.

Computed properties:
Its energy of formation from the pure elements is -53.1 meV/atom. The total magnetization comes out at 0.00 μB/cell. The total energy comes out at -53.14 eV for the cell shown.

Unit cell a=6.877 b=6.877 c=2.598 alpha=90.00 beta=90.00 gamma=90.00
Sites, in units of the cell vectors:
1 Zn 0.000 0.000 0.000
2 Zn 0.500 0.500 0.000
3 Co 0.135 0.365 0.500
4 Co 0.365 0.865 0.500
5 Co 0.635 0.135 0.500
6 Co 0.865 0.635 0.500
7 P 0.149 0.649 0.000
8 P 0.351 0.149 0.000
9 P 0.649 0.851 0.000
10 P 0.851 0.351 0.000

---

(4)
Crystalline ZnCo2P at its relaxed geometry. Source: Alexandria via LeMat-Bulk, functional PBE-GGA.

Computed properties:
Its energy of formation from the pure elements is -188.6 meV/atom. Its energy above the lowest structure with this stoichiometry is 0.26 eV/f.u. The total magnetization comes out at 0.00 μB/cell. The total energy comes out at -21.65 eV for the cell shown.

Unit cell a=5.210 b=5.210 c=5.210 alpha=39.36 beta=39.36 gamma=39.36
Sites, in units of the cell vectors:
1 Zn 0.000 0.000 0.000
2 Co 0.563 0.563 0.563
3 Co 0.778 0.778 0.778
4 P 0.174 0.174 0.174